Record 1
# Rb2MgZn

An optimized crystal structure of Rb2MgZn (PBEsol, the Alexandria database).

The mass density comes out at 2.5 g cm⁻³. The energy is -0.98 eV per atom. The calculation puts the formation energy at 8.2 kcal/mol of atoms.

Lattice parameters (Å, degrees): 8.8487 8.8487 8.8487 90.00 90.00 90.00
Closest atoms and distances in Å follow each position.
Space group Fm-3m (No. 225)
Asymmetric unit:
Rb 0.2500 0.2500 0.2500 x8  4 Mg 3.83, 4 Zn 3.83
Mg 0.0000 0.0000 0.0000 x4  8 Rb 3.83
Zn 0.0000 0.0000 0.5000 x4  8 Rb 3.83

***

Record 2
# OsAuBr2

An optimized crystal structure of OsAuBr2 (PBEsol, the Alexandria database).

The uncorrected formation energy comes out at 0.82 eV per atom. The mass density comes out at 10.3 g cm⁻³. The energy above the most stable polymorph in this dataset is 0.044 eV/atom. The energy is -4.15 eV per atom.

Lattice parameters (Å, degrees): 3.5748 3.5748 23.9073 90.00 90.00 120.00
Closest atoms and distances in Å follow each position.
Space group R-3m (No. 166, hexagonal axes)
Asymmetric unit:
Os 0.0000 0.0000 0.0000 x3  6 Br 2.49
Au 0.0000 0.0000 0.5000 x3  6 Br 3.32, 6 Au 3.57
Br 0.0000 0.0000 0.2752 x6  3 Os 2.49

***

Record 3
# RbHfSb2N

An optimized crystal structure of RbHfSb2N (PBEsol, the Alexandria database).

The uncorrected formation energy comes out at 0.02 eV per atom. The mass density comes out at 6.3 g cm⁻³. The energy is -5.82 eV per atom.

Lattice parameters (Å, degrees): 5.8063 5.8063 4.0694 90.00 90.00 90.00
Closest atoms and distances in Å follow each position.
Space group P4/mmm (No. 123)
Asymmetric unit:
Rb 0.0000 0.0000 0.0000 x1  8 Sb 3.55
Hf 0.5000 0.5000 0.5000 x1  2 N 2.03
Sb 0.0000 0.5000 0.5000 x2  2 Hf 2.90
N 0.5000 0.5000 0.0000 x1  2 Hf 2.03